1.
Material: YFeSiPt
Method: DFT, PBE
State: relaxed

a b c (Å): 5.383 5.383 4.096
angles (deg): 112.10 112.10 45.11
Sites, in units of the cell vectors:
Y (0.000, 0.000, 0.000)
Fe (0.247, 0.247, 0.747)
Si (0.647, 0.647, 0.645)
Pt (0.388, 0.388, 0.386)

Summary:
Its raw formation energy is -1.79 eV/f.u. The energy above the most stable polymorph in this dataset is 0.156 eV per atom.


2.
Material: YFeSiPt
Method: DFT, PBE
State: relaxed

a b c (Å): 3.631 4.164 4.848
angles (deg): 90.00 111.78 90.00
Sites, in units of the cell vectors:
Y (0.000, 0.000, 0.000)
Fe (0.278, 0.000, 0.545)
Si (0.383, 0.500, 0.763)
Pt (0.694, 0.500, 0.381)

Summary:
Its raw formation energy is -1.79 eV/f.u. The energy above the most stable polymorph in this dataset is 0.156 eV per atom.


3.
Material: YFeSiPt
Method: DFT, PBE
State: relaxed

a b c (Å): 4.138 4.138 5.540
angles (deg): 111.98 111.98 60.03
Sites, in units of the cell vectors:
Y (0.000, 0.000, 0.000)
Fe (0.504, 0.504, 0.513)
Si (0.205, 0.205, 0.616)
Pt (0.796, 0.796, 0.388)

Summary:
Its raw formation energy is -2.42 eV/f.u. The energy above the most stable polymorph in this dataset is 0.000 eV per atom.


4.
Material: YFeSiPt
Method: DFT, PBE
State: relaxed

a b c (Å): 3.331 6.835 6.835
angles (deg): 26.25 90.00 90.00
Sites, in units of the cell vectors:
Y (0.000, 0.000, 0.000)
Fe (0.500, 0.332, 0.332)
Si (0.000, 0.778, 0.778)
Pt (0.500, 0.645, 0.645)

Summary:
Its raw formation energy is -1.85 eV/f.u. The energy above the most stable polymorph in this dataset is 0.143 eV per atom.


5.
Material: YFeSiPt
Method: DFT, PBE
State: relaxed

a b c (Å): 4.199 4.199 4.391
angles (deg): 103.00 103.00 104.95
Sites, in units of the cell vectors:
Y (0.000, 0.000, 0.000)
Fe (0.455, 0.545, 0.000)
Si (0.319, 0.681, 0.500)
Pt (0.700, 0.300, 0.500)

Summary:
Its raw formation energy is -1.60 eV/f.u. The energy above the most stable polymorph in this dataset is 0.204 eV per atom.


6.
Material: YFeSiPt
Method: DFT, PBE
State: relaxed

a b c (Å): 5.432 5.432 5.432
angles (deg): 45.43 45.43 45.43
Sites, in units of the cell vectors:
Y (0.000, 0.000, 0.000)
Fe (0.801, 0.801, 0.801)
Si (0.207, 0.207, 0.207)
Pt (0.493, 0.493, 0.493)

Summary:
Its raw formation energy is -2.16 eV/f.u. The energy above the most stable polymorph in this dataset is 0.066 eV per atom.


7.
Material: YFeSiPt
Method: DFT, PBE
State: relaxed

a b c (Å): 3.586 5.715 5.715
angles (deg): 35.44 90.00 90.00
Sites, in units of the cell vectors:
Y (0.000, 0.000, 0.000)
Fe (0.500, 0.391, 0.391)
Si (0.000, 0.261, 0.261)
Pt (0.500, 0.680, 0.680)

Summary:
Its raw formation energy is -1.47 eV/f.u. The energy above the most stable polymorph in this dataset is 0.237 eV per atom.


8.
Material: Zn2FeSiPt
Method: DFT, PBE
State: relaxed

a b c (Å): 4.500 4.500 4.218
angles (deg): 90.00 90.00 90.00
Sites, in units of the cell vectors:
Zn (0.000, 0.500, 0.000)
Zn (0.500, 0.000, 0.000)
Fe (0.000, 0.000, 0.000)
Si (0.000, 0.000, 0.500)
Pt (0.500, 0.500, 0.500)

Summary:
Its raw formation energy is 2.68 eV/f.u.


9.
Material: ZrFeSi2Pt
Method: DFT, PBE
State: relaxed

a b c (Å): 4.583 4.583 4.735
angles (deg): 90.00 90.00 90.00
Sites, in units of the cell vectors:
Zr (0.000, 0.000, 0.000)
Fe (0.500, 0.500, 0.000)
Si (0.000, 0.500, 0.500)
Si (0.500, 0.000, 0.500)
Pt (0.500, 0.500, 0.500)

Summary:
Its raw formation energy is 2.44 eV/f.u.


10.
Material: SmFePt4
Method: DFT, PBE
State: relaxed

a b c (Å): 7.685 4.006 6.904
angles (deg): 90.00 90.00 90.00
Sites, in units of the cell vectors:
Sm (0.250, 0.000, 0.143)
Sm (0.750, 0.000, 0.857)
Fe (0.250, 0.000, 0.730)
Fe (0.750, 0.000, 0.270)
Pt (0.000, 0.000, 0.500)
Pt (0.052, 0.500, 0.812)
Pt (0.250, 0.500, 0.469)
Pt (0.448, 0.500, 0.812)
Pt (0.500, 0.000, 0.500)
Pt (0.552, 0.500, 0.188)
Pt (0.750, 0.500, 0.531)
Pt (0.948, 0.500, 0.188)

Summary:
Its formation energy is -53.4 kJ/mol of atoms.


11.
Material: FeSnPt3
Method: DFT, PBE
State: relaxed

a b c (Å): 4.615 4.615 4.615
angles (deg): 90.00 90.00 90.00
Sites, in units of the cell vectors:
Fe (0.000, 0.000, 0.000)
Sn (0.500, 0.500, 0.500)
Pt (0.000, 0.000, 0.500)
Pt (0.000, 0.500, 0.000)
Pt (0.500, 0.000, 0.000)

Summary:
Its formation energy is 70.9 kJ/mol of atoms. The energy above the most stable polymorph in this dataset is 0.000 eV per atom.


12.
Material: FeSn2Pt
Method: DFT, PBE
State: relaxed

a b c (Å): 6.037 6.037 6.037
angles (deg): 104.34 104.34 120.32
Sites, in units of the cell vectors:
Fe (0.000, 0.000, 0.000)
Fe (0.750, 0.250, 0.500)
Sn (0.129, 0.625, 0.004)
Sn (0.375, 0.379, 0.504)
Sn (0.621, 0.125, 0.996)
Sn (0.875, 0.871, 0.496)
Pt (0.250, 0.750, 0.500)
Pt (0.500, 0.500, 0.000)

Summary:
Its formation energy is 24.9 kJ/mol of atoms. The energy above the most stable polymorph in this dataset is 0.213 eV per atom.